[1]
Entry from Alexandria: Ta3Mo5 at its PBEsol-relaxed geometry (meta-GGA SCAN).

a b c (Å): 5.482 5.482 5.533
angles (deg): 109.53 109.53 108.98
Fractional positions:
1 Mo 0.500 0.000 0.000
2 Mo 0.000 0.500 0.500
3 Mo 0.500 0.000 0.500
4 Mo 0.000 0.500 0.000
5 Mo 0.500 0.500 0.000
6 Ta 0.000 0.000 0.500
7 Ta 0.500 0.500 0.500
8 Ta 0.000 0.000 0.000

V: 16.07 A^3/atom
SG: Fmmm, No. 69
theoretical density: 13.2 g/cm³
distance to the lowest polymorph of the same formula: 0.42 eV per formula unit
energy relative to the elements: -13 kJ/mol of atoms



[2]
Entry from Alexandria: Ta3Mo at its PBEsol-relaxed geometry (meta-GGA SCAN).

a b c (Å): 4.593 5.589 5.589
angles (deg): 109.22 90.00 90.00
Fractional positions:
1 Mo 0.250 0.127 0.873
2 Mo 0.750 0.873 0.127
3 Ta 0.750 0.882 0.632
4 Ta 0.250 0.620 0.380
5 Ta 0.750 0.368 0.118
6 Ta 0.250 0.118 0.368
7 Ta 0.250 0.632 0.882
8 Ta 0.750 0.380 0.620

V: 16.93 A^3/atom
SG: Cmcm, No. 63
theoretical density: 15.7 g/cm³
distance to the lowest polymorph of the same formula: 0.11 eV per formula unit
energy relative to the elements: -9 kJ/mol of atoms



[3]
Entry from Alexandria: Ta3Mo5 at its PBEsol-relaxed geometry (meta-GGA SCAN).

a b c (Å): 5.286 5.286 5.481
angles (deg): 99.84 99.84 117.41
Fractional positions:
1 Mo 0.004 0.996 0.000
2 Mo 0.004 0.500 0.751
3 Mo 0.996 0.004 0.500
4 Mo 0.496 0.504 0.000
5 Mo 0.500 0.996 0.249
6 Ta 0.995 0.500 0.249
7 Ta 0.500 0.005 0.751
8 Ta 0.506 0.494 0.500

V: 16.05 A^3/atom
SG: C2, No. 5
theoretical density: 13.2 g/cm³
distance to the lowest polymorph of the same formula: 0.13 eV per formula unit
energy relative to the elements: -16 kJ/mol of atoms



[4]
Entry from Alexandria: Ta3Mo at its PBEsol-relaxed geometry (meta-GGA SCAN).

a b c (Å): 2.825 4.589 10.495
angles (deg): 90.00 94.36 90.00
Fractional positions:
1 Mo 0.682 0.750 0.560
2 Mo 0.318 0.250 0.440
3 Ta 0.944 0.750 0.320
4 Ta 0.555 0.250 0.194
5 Ta 0.186 0.750 0.064
6 Ta 0.814 0.250 0.936
7 Ta 0.445 0.750 0.806
8 Ta 0.056 0.250 0.680

V: 16.96 A^3/atom
SG: P2_1/m, No. 11
theoretical density: 15.6 g/cm³
distance to the lowest polymorph of the same formula: 0.25 eV per formula unit
energy relative to the elements: -6 kJ/mol of atoms



> Which of these has the lowest distance to the lowest polymorph of the same formula?

number 2